# LiMnF4, optimized geometry, DFT PBE+U
# Magnetic moment ... 16.0 μB/cell
# E_tot ... -0.1999 Ha/atom
data_LiMnF4
_symmetry_space_group_name_H-M 'P n m a'
_symmetry_Int_Tables_number 62
_cell_length_a 10.1656
_cell_length_b 5.8989
_cell_length_c 4.6374
_cell_angle_alpha 90.00
_cell_angle_beta 90.00
_cell_angle_gamma 90.00
loop_
_symmetry_equiv_pos_as_xyz
'x,y,z'
'-x,-y,-z'
'-x+1/2,-y,z+1/2'
'x+1/2,y,-z+1/2'
'x+1/2,-y+1/2,-z+1/2'
'-x+1/2,y+1/2,z+1/2'
'-x,y+1/2,-z'
'x,-y+1/2,z'
loop_
_atom_site_label
_atom_site_fract_x
_atom_site_fract_y
_atom_site_fract_z
Li1 0.0000 0.0000 0.0000
Mn1 0.2402 0.2500 0.4702
F1 0.0895 0.2500 0.2496
F2 0.1015 0.7500 0.1716
F3 0.1704 0.0031 0.7375